[1]
Tb4Ir2Pt, relaxed, DFT GGA-PBE; calculated density = 12.4 g cm⁻³; calculated total energy = -6.94 eV per atom; energy relative to the lowest polymorph listed for this composition = 0.00 eV per formula unit; DFT formation energy = -0.90 eV per atom
1.0
-2.916 1.402 3.626
-3.905 -2.657 1.144
2.100 -4.632 6.736
Tb Pt Ir
4 1 2
Cartesian
-5.162 -2.853 6.722
-3.977 -1.386 3.851
0.441 -3.033 4.784
-0.744 -4.501 7.655
0.000 0.000 0.000
-1.174 -1.478 2.884
-3.547 -4.409 8.623

[2]
Tb4IrPt2, relaxed, DFT GGA-PBE; calculated density = 12.2 g cm⁻³; calculated total energy = -6.64 eV per atom; DFT formation energy = -1.00 eV per atom
1.0
7.487 -0.984 -0.148
-1.522 7.394 0.149
-2.874 -3.305 6.151
Tb Pt Ir
8 4 2
Cartesian
0.722 3.011 0.822
1.508 -0.707 2.253
-3.092 2.182 4.715
0.650 1.690 4.626
0.083 -2.370 5.329
2.275 4.558 3.897
4.729 3.877 1.525
5.489 0.179 1.441
2.517 -0.845 5.310
2.855 1.831 2.272
-1.254 -0.329 3.883
2.066 5.551 0.843
-0.706 3.648 3.149
4.612 -4.289 6.003

[3]
Tb8Te4IrPt3, relaxed, DFT GGA-PBE; calculated density = 9.7 g cm⁻³; calculated total energy = -6.02 eV per atom; ΔE_f (raw) = -118.87 kJ per mole of atoms
1.0
-4.961 6.679 -0.501
-5.062 -3.285 6.337
8.139 0.959 1.518
Te Tb Pt Ir
4 8 3 1
Cartesian
-2.480 3.339 -0.250
0.000 0.000 0.000
4.070 0.479 0.759
1.589 3.819 0.508
-3.396 3.042 4.850
1.512 1.311 2.504
-0.929 4.681 2.271
0.668 3.573 5.603
3.202 0.162 5.859
-0.955 -0.328 5.084
-2.552 0.780 1.751
-5.086 4.191 1.496
-5.012 1.697 2.918
-0.942 2.176 3.677
1.539 -1.163 3.927
-2.531 -1.642 3.169